# PBE-GGA Sm4MgZn2Ru, optimized geometry
# D(E_F)	0.787	states/eV per atom
# formation enthalpy at 0 K	-263.3	meV/atom
# SG	R-3m
data_Sm4MgZn2Ru
_cell_length_a 8.9244
_cell_length_b 8.9244
_cell_length_c 8.9244
_cell_angle_alpha 33.66
_cell_angle_beta 33.66
_cell_angle_gamma 33.66
_space_group_name_H-M_alt 'P 1'
_space_group_IT_number 1
_space_group_name_Hall 'P 1'
loop_
_atom_site_label
_atom_site_type_symbol
_atom_site_fract_x
_atom_site_fract_y
_atom_site_fract_z
Sm1 Sm 0.1138 0.1138 0.1138
Sm2 Sm 0.3672 0.3672 0.3672
Sm3 Sm 0.6328 0.6328 0.6328
Sm4 Sm 0.8862 0.8862 0.8862
Mg1 Mg 0.5000 0.5000 0.5000
Zn1 Zn 0.2387 0.2387 0.2387
Zn2 Zn 0.7613 0.7613 0.7613
Ru1 Ru 0.0000 0.0000 0.0000

# PBE-GGA LiAgRh2, optimized geometry
# energy above the most stable polymorph in this dataset	107	kJ/mol of formula units
# D(E_F)	1.331	states/eV per atom
# formation enthalpy at 0 K	274.5	meV/atom
# SG	Fm-3m
data_LiAgRh2
_cell_length_a 4.3765
_cell_length_b 4.3765
_cell_length_c 4.3765
_cell_angle_alpha 60.00
_cell_angle_beta 60.00
_cell_angle_gamma 60.00
_space_group_name_H-M_alt 'P 1'
_space_group_IT_number 1
_space_group_name_Hall 'P 1'
loop_
_atom_site_label
_atom_site_type_symbol
_atom_site_fract_x
_atom_site_fract_y
_atom_site_fract_z
Li1 Li 0.0000 0.0000 0.0000
Ag1 Ag 0.5000 0.5000 0.5000
Rh1 Rh 0.2500 0.2500 0.2500
Rh2 Rh 0.7500 0.7500 0.7500